A plane-wave DFT calculation with PBE+U was carried out for a relaxed LaCoO3 crystal.

Cell and atoms, written as extended XYZ:
```
10
Lattice="-3.323 3.184 2.946 -5.399 -0.761 -0.338 -2.650 -2.152 4.265" Properties=species:S:1:pos:R:3 pbc="T T T"
Co 0.000 0.000 0.000
Co -5.686 0.136 3.437
O -5.522 -0.644 1.628
O -5.850 0.916 5.245
O -4.681 1.749 2.896
O -6.691 -1.478 3.978
O -4.030 -0.756 4.037
O -7.341 1.028 2.837
La -2.840 0.067 1.723
La -8.531 0.205 5.151
```

Summary:
total energy = -7.212 eV/atom
total moment = 2.0 μB/f.u.